<1>
# BeTlAs PBE optimized geometry
data_BeTlAs
_chemical_formula_sum 'Be2 Tl2 As2'
_cell_length_a 3.803
_cell_length_b 3.803
_cell_length_c 9.385
_cell_angle_alpha 90.00
_cell_angle_beta 90.00
_cell_angle_gamma 90.00
_space_group_name_H-M_alt 'P 4/n m m'
_space_group_IT_number 129
loop_
_space_group_symop_operation_xyz
'x,y,z'
'-x,-y,-z'
'-y+1/2,x,z'
'y+1/2,-x,-z'
'-x+1/2,-y+1/2,z'
'x+1/2,y+1/2,-z'
'y,-x+1/2,z'
'-y,x+1/2,-z'
'x+1/2,-y,-z'
'-x+1/2,y,z'
'-y,-x,-z'
'y,x,z'
'-x,y+1/2,-z'
'x,-y+1/2,z'
'y+1/2,x+1/2,-z'
'-y+1/2,-x+1/2,z'
loop_
_atom_site_label
_atom_site_fract_x
_atom_site_fract_y
_atom_site_fract_z
Be1 0.250 0.750 0.000
Tl1 0.250 0.250 0.329
As1 0.250 0.250 0.855
# Spin magnetization (μB per cell): 0.0
# N(E_F) (states/eV/f.u.): 0.9

***

<2>
# BeTlAs PBE optimized geometry
data_BeTlAs
_chemical_formula_sum 'Be4 Tl4 As4'
_cell_length_a 3.519
_cell_length_b 3.519
_cell_length_c 20.378
_cell_angle_alpha 90.00
_cell_angle_beta 90.00
_cell_angle_gamma 90.00
_space_group_name_H-M_alt 'I 4/m m m'
_space_group_IT_number 139
_space_group_name_Hall '-I 4 2'
loop_
_atom_site_label
_atom_site_fract_x
_atom_site_fract_y
_atom_site_fract_z
Be1 0.000 0.500 0.000
Tl1 0.000 0.000 0.183
As1 0.000 0.000 0.423
# Spin magnetization (μB per cell): 0.0
# N(E_F) (states/eV/f.u.): 1.4

***

<3>
# BeTlAs PBE optimized geometry
data_BeTlAs
_chemical_formula_sum 'Be2 Tl2 As2'
_cell_length_a 5.805
_cell_length_b 3.829
_cell_length_c 7.032
_cell_angle_alpha 90.00
_cell_angle_beta 107.89
_cell_angle_gamma 90.00
_space_group_name_H-M_alt 'P 1 21/m 1'
_space_group_IT_number 11
_space_group_name_Hall '-P 2yb'
loop_
_atom_site_label
_atom_site_fract_x
_atom_site_fract_y
_atom_site_fract_z
Be1 0.079 0.250 0.073
Tl1 0.304 0.750 0.705
As1 0.224 0.750 0.222
# Spin magnetization (μB per cell): 0.0
# N(E_F) (states/eV/f.u.): 0.2

***

<1> ends up most stable, edging out the next structure by 0.057 eV/atom.

***

<1>
# BeTlAs PBE optimized geometry
data_BeTlAs
_chemical_formula_sum 'Be2 Tl2 As2'
_cell_length_a 3.336
_cell_length_b 3.336
_cell_length_c 11.802
_cell_angle_alpha 90.00
_cell_angle_beta 90.00
_cell_angle_gamma 90.00
_space_group_name_H-M_alt 'I 4 m m'
_space_group_IT_number 107
_space_group_name_Hall 'I 4 -2'
loop_
_atom_site_label
_atom_site_fract_x
_atom_site_fract_y
_atom_site_fract_z
Be1 0.000 0.000 0.000
Tl1 0.000 0.000 0.237
As1 0.000 0.000 0.493
# Spin magnetization (μB per cell): 0.0
# N(E_F) (states/eV/f.u.): 1.5

***

<2>
# BeTlAs PBE optimized geometry
data_BeTlAs
_chemical_formula_sum 'Be1 Tl1 As1'
_cell_length_a 3.8493
_cell_length_b 3.8493
_cell_length_c 5.1897
_cell_angle_alpha 90.00
_cell_angle_beta 90.00
_cell_angle_gamma 120.00
_space_group_name_H-M_alt 'P -6 m 2'
_space_group_IT_number 187
_space_group_name_Hall 'P -6 2'
loop_
_atom_site_label
_atom_site_fract_x
_atom_site_fract_y
_atom_site_fract_z
Be1 0.0000 0.0000 0.0000
Tl1 0.6667 0.3333 0.5000
As1 0.3333 0.6667 0.0000
# Spin magnetization (μB per cell): 0.0
# N(E_F) (states/eV/f.u.): 0.5

***

<3>
# BeTlAs PBE optimized geometry
data_BeTlAs
_chemical_formula_sum 'Be4 Tl4 As4'
_cell_length_a 6.520
_cell_length_b 6.520
_cell_length_c 6.520
_cell_angle_alpha 90.00
_cell_angle_beta 90.00
_cell_angle_gamma 90.00
_space_group_name_H-M_alt 'F -4 3 m'
_space_group_IT_number 216
_space_group_name_Hall 'F -4 2 3'
loop_
_atom_site_label
_atom_site_fract_x
_atom_site_fract_y
_atom_site_fract_z
Be1 0.000 0.000 0.000
Tl1 0.250 0.250 0.750
As1 0.000 0.000 0.500
# Spin magnetization (μB per cell): 0.0
# N(E_F) (states/eV/f.u.): 1.3

***

<2> ends up most stable, edging out the next structure by 0.354 eV/atom.

***

<1>
# BeTlAs3 PBE optimized geometry
data_BeTlAs3
_chemical_formula_sum 'Be1 Tl1 As3'
_cell_length_a 5.320
_cell_length_b 5.320
_cell_length_c 5.320
_cell_angle_alpha 90.00
_cell_angle_beta 90.00
_cell_angle_gamma 90.00
_space_group_name_H-M_alt 'P m -3 m'
_space_group_IT_number 221
_space_group_name_Hall '-P 4 2 3'
loop_
_atom_site_label
_atom_site_fract_x
_atom_site_fract_y
_atom_site_fract_z
Be1 0.000 0.000 0.000
Tl1 0.500 0.500 0.500
As1 0.000 0.500 0.500
# Spin magnetization (μB per cell): 0.0
# N(E_F) (states/eV/f.u.): 5.4

***

<2>
# BeTlAs3 PBE optimized geometry
data_BeTlAs3
_chemical_formula_sum 'Be1 Tl1 As3'
_cell_length_a 4.684
_cell_length_b 4.684
_cell_length_c 4.684
_cell_angle_alpha 90.00
_cell_angle_beta 90.00
_cell_angle_gamma 90.00
_space_group_name_H-M_alt 'P m -3 m'
_space_group_IT_number 221
_space_group_name_Hall '-P 4 2 3'
loop_
_atom_site_label
_atom_site_fract_x
_atom_site_fract_y
_atom_site_fract_z
Be1 0.000 0.000 0.000
Tl1 0.500 0.500 0.500
As1 0.000 0.000 0.500
# Spin magnetization (μB per cell): 0.0
# N(E_F) (states/eV/f.u.): 3.0

***

<2> ends up most stable, edging out the next structure by 1.202 eV/atom.

***

<1>
# UBeAs PBE optimized geometry
data_UBeAs
_chemical_formula_sum 'U1 Be1 As1'
_cell_length_a 3.7851
_cell_length_b 3.7851
_cell_length_c 4.1980
_cell_angle_alpha 90.00
_cell_angle_beta 90.00
_cell_angle_gamma 120.00
_space_group_name_H-M_alt 'P -6 m 2'
_space_group_IT_number 187
_space_group_name_Hall 'P -6 2'
loop_
_atom_site_label
_atom_site_fract_x
_atom_site_fract_y
_atom_site_fract_z
U1 0.0000 0.0000 0.0000
Be1 0.6667 0.3333 0.5000
As1 0.3333 0.6667 0.5000
# Spin magnetization (μB per cell): 2.6
# N(E_F) (states/eV/f.u.): 5.8

***

<2>
# UBeAs PBE optimized geometry
data_UBeAs
_chemical_formula_sum 'U2 Be2 As2'
_cell_length_a 3.222
_cell_length_b 3.222
_cell_length_c 10.003
_cell_angle_alpha 90.00
_cell_angle_beta 90.00
_cell_angle_gamma 90.00
_space_group_name_H-M_alt 'I 4 m m'
_space_group_IT_number 107
_space_group_name_Hall 'I 4 -2'
loop_
_atom_site_label
_atom_site_fract_x
_atom_site_fract_y
_atom_site_fract_z
U1 0.000 0.000 0.000
Be1 0.000 0.000 0.299
As1 0.000 0.000 0.706
# Spin magnetization (μB per cell): 6.0
# N(E_F) (states/eV/f.u.): 5.0

***

<1> ends up most stable, edging out the next structure by 0.437 eV/atom.

***

<1>
# BeV2As PBE optimized geometry
data_BeV2As
_chemical_formula_sum 'Be4 V8 As4'
_cell_length_a 3.492
_cell_length_b 3.492
_cell_length_c 17.857
_cell_angle_alpha 90.00
_cell_angle_beta 90.00
_cell_angle_gamma 90.00
_space_group_name_H-M_alt 'I -4 2 d'
_space_group_IT_number 122
_space_group_name_Hall 'I -4 2bw'
loop_
_atom_site_label
_atom_site_fract_x
_atom_site_fract_y
_atom_site_fract_z
Be1 0.000 0.000 0.000
V1 0.250 0.250 0.125
As1 0.000 0.000 0.500
# Spin magnetization (μB per cell): 0.0
# N(E_F) (states/eV/f.u.): 3.4

***

<2>
# BeV2As PBE optimized geometry
data_BeV2As
_chemical_formula_sum 'Be4 V8 As4'
_cell_length_a 5.871
_cell_length_b 5.871
_cell_length_c 5.871
_cell_angle_alpha 90.00
_cell_angle_beta 90.00
_cell_angle_gamma 90.00
_space_group_name_H-M_alt 'F m -3 m'
_space_group_IT_number 225
_space_group_name_Hall '-F 4 2 3'
loop_
_atom_site_label
_atom_site_fract_x
_atom_site_fract_y
_atom_site_fract_z
Be1 0.000 0.000 0.000
V1 0.250 0.250 0.250
As1 0.000 0.000 0.500
# Spin magnetization (μB per cell): 5.9
# N(E_F) (states/eV/f.u.): 4.3

***

<3>
# BeV2As PBE optimized geometry
data_BeV2As
_chemical_formula_sum 'Be1 V2 As1'
_cell_length_a 3.152
_cell_length_b 3.152
_cell_length_c 5.097
_cell_angle_alpha 90.00
_cell_angle_beta 90.00
_cell_angle_gamma 90.00
_space_group_name_H-M_alt 'P 4/m m m'
_space_group_IT_number 123
_space_group_name_Hall '-P 4 2'
loop_
_atom_site_label
_atom_site_fract_x
_atom_site_fract_y
_atom_site_fract_z
Be1 0.000 0.000 0.000
V1 0.500 0.500 0.232
As1 0.000 0.000 0.500
# Spin magnetization (μB per cell): 0.0
# N(E_F) (states/eV/f.u.): 3.2

***

<3> ends up most stable, edging out the next structure by 0.105 eV/atom.

***

<1>
# Be3VAs PBE optimized geometry
data_Be3VAs
_chemical_formula_sum 'Be3 V1 As1'
_cell_length_a 4.270
_cell_length_b 4.270
_cell_length_c 4.270
_cell_angle_alpha 90.00
_cell_angle_beta 90.00
_cell_angle_gamma 90.00
_space_group_name_H-M_alt 'P m -3 m'
_space_group_IT_number 221
_space_group_name_Hall '-P 4 2 3'
loop_
_atom_site_label
_atom_site_fract_x
_atom_site_fract_y
_atom_site_fract_z
Be1 0.000 0.000 0.500
V1 0.000 0.000 0.000
As1 0.500 0.500 0.500
# Spin magnetization (μB per cell): 0.0
# N(E_F) (states/eV/f.u.): 4.5

***

<2>
# Be3VAs PBE optimized geometry
data_Be3VAs
_chemical_formula_sum 'Be3 V1 As1'
_cell_length_a 4.219
_cell_length_b 4.219
_cell_length_c 4.219
_cell_angle_alpha 90.00
_cell_angle_beta 90.00
_cell_angle_gamma 90.00
_space_group_name_H-M_alt 'P m -3 m'
_space_group_IT_number 221
_space_group_name_Hall '-P 4 2 3'
loop_
_atom_site_label
_atom_site_fract_x
_atom_site_fract_y
_atom_site_fract_z
Be1 0.000 0.000 0.500
V1 0.500 0.500 0.500
As1 0.000 0.000 0.000
# Spin magnetization (μB per cell): 2.7
# N(E_F) (states/eV/f.u.): 4.3

***

<2> ends up most stable, edging out the next structure by 0.355 eV/atom.

***

<1>
# BeAsW2 PBE optimized geometry
data_BeAsW2
_chemical_formula_sum 'Be1 As1 W2'
_cell_length_a 2.810
_cell_length_b 4.003
_cell_length_c 5.256
_cell_angle_alpha 90.00
_cell_angle_beta 99.15
_cell_angle_gamma 90.00
_space_group_name_H-M_alt 'P 1 2/m 1'
_space_group_IT_number 10
_space_group_name_Hall '-P 2y'
loop_
_atom_site_label
_atom_site_fract_x
_atom_site_fract_y
_atom_site_fract_z
Be1 0.000 0.000 0.000
As1 0.500 0.000 0.500
W1 0.279 0.500 0.763
# Spin magnetization (μB per cell): 0.0
# N(E_F) (states/eV/f.u.): 2.7

***

<2>
# BeAsW2 PBE optimized geometry
data_BeAsW2
_chemical_formula_sum 'Be3 As3 W6'
_cell_length_a 2.9121
_cell_length_b 2.9121
_cell_length_c 23.8908
_cell_angle_alpha 90.00
_cell_angle_beta 90.00
_cell_angle_gamma 120.00
_space_group_name_H-M_alt 'R -3 m'
_space_group_IT_number 166
_space_group_name_Hall '-R 3 2"'
loop_
_atom_site_label
_atom_site_fract_x
_atom_site_fract_y
_atom_site_fract_z
Be1 0.0000 0.0000 0.0000
As1 0.0000 0.0000 0.5000
W1 0.0000 0.0000 0.2519
# Spin magnetization (μB per cell): 0.0
# N(E_F) (states/eV/f.u.): 3.4

***

<1> ends up most stable, edging out the next structure by 0.056 eV/atom.

***

<1>
# BeAsW2 PBE optimized geometry
data_BeAsW2
_chemical_formula_sum 'Be1 As1 W2'
_cell_length_a 3.179
_cell_length_b 4.075
_cell_length_c 4.493
_cell_angle_alpha 90.00
_cell_angle_beta 90.00
_cell_angle_gamma 90.00
_space_group_name_H-M_alt 'P m m m'
_space_group_IT_number 47
_space_group_name_Hall '-P 2 2'
loop_
_atom_site_label
_atom_site_fract_x
_atom_site_fract_y
_atom_site_fract_z
Be1 0.000 0.000 0.000
As1 0.500 0.000 0.500
W1 0.000 0.500 0.500
W2 0.500 0.500 0.000
# Spin magnetization (μB per cell): 0.0
# N(E_F) (states/eV/f.u.): 2.3

***

<2>
# BeAsW2 PBE optimized geometry
data_BeAsW2
_chemical_formula_sum 'Be4 As4 W8'
_cell_length_a 6.063
_cell_length_b 6.063
_cell_length_c 6.063
_cell_angle_alpha 90.00
_cell_angle_beta 90.00
_cell_angle_gamma 90.00
_space_group_name_H-M_alt 'F m -3 m'
_space_group_IT_number 225
_space_group_name_Hall '-F 4 2 3'
loop_
_atom_site_label
_atom_site_fract_x
_atom_site_fract_y
_atom_site_fract_z
Be1 0.000 0.000 0.000
As1 0.000 0.000 0.500
W1 0.250 0.250 0.250
# Spin magnetization (μB per cell): 0.0
# N(E_F) (states/eV/f.u.): 1.8

***

<1> ends up most stable, edging out the next structure by 0.006 eV/atom.